Arrangement A

# Pa2WC

An optimized crystal structure of Pa2WC (GGA-PBE, Alexandria via LeMat-Bulk).

The structure in extended XYZ format:
```
4
Lattice="1.5733 0.9083 8.7714 -1.5733 0.9083 8.7714 0.0000 -1.8166 8.7714" Properties=species:S:1:pos:R:3 pbc="T T T"
Pa 0.0000 0.0000 2.8065
Pa 0.0000 0.0000 23.5076
W 0.0000 0.0000 0.0000
C 0.0000 0.0000 13.1570
```

Output
Size of the total moment, μB per atom: 0.0000
Space group: R-3m



Arrangement B

# Pa2WC

An optimized crystal structure of Pa2WC (GGA-PBE, Alexandria via LeMat-Bulk).

The structure in extended XYZ format:
```
4
Lattice="3.3070 0.0000 0.0000 0.0000 3.3070 0.0000 0.0000 0.0000 6.5680" Properties=species:S:1:pos:R:3 pbc="T T T"
Pa 0.0000 0.0000 1.3999
Pa 0.0000 0.0000 5.1681
W 1.6535 1.6535 3.2840
C 1.6535 1.6535 0.0000
```

Output
Size of the total moment, μB per atom: 0.0000
Space group: P4/mmm



Need the numbers? Relative energies in eV/atom: arrangement A 0.039; arrangement B 0.000.



Arrangement A

# Pa2ZnC

An optimized crystal structure of Pa2ZnC (GGA-PBE, Alexandria via LeMat-Bulk).

The structure in extended XYZ format:
```
4
Lattice="3.0517 0.0000 0.0000 0.0000 3.0517 0.0000 0.0000 0.0000 7.5033" Properties=species:S:1:pos:R:3 pbc="T T T"
Pa 0.0000 0.0000 1.4618
Pa 0.0000 0.0000 6.0415
Zn 1.5258 1.5258 3.7516
C 1.5258 1.5258 0.0000
```

Output
Size of the total moment, μB per atom: 0.0000
Space group: P4/mmm



Arrangement B

# Pa2ZnC

An optimized crystal structure of Pa2ZnC (GGA-PBE, Alexandria via LeMat-Bulk).

The structure in extended XYZ format:
```
4
Lattice="1.6249 0.9381 9.4560 -1.6249 0.9381 9.4560 0.0000 -1.8763 9.4560" Properties=species:S:1:pos:R:3 pbc="T T T"
Pa 0.0000 0.0000 3.2103
Pa 0.0000 0.0000 25.1577
Zn 0.0000 0.0000 0.0000
C 0.0000 0.0000 14.1840
```

Output
Size of the total moment, μB per atom: 0.0001
Space group: R-3m



Need the numbers? Relative energies in eV/atom: arrangement A 0.000; arrangement B 0.039.



Arrangement A

# ZrPa3C4

An optimized crystal structure of ZrPa3C4 (GGA-PBE, Alexandria via LeMat-Bulk).

The structure in extended XYZ format:
```
8
Lattice="-2.5052 2.5052 5.0267 2.5052 -2.5052 5.0267 2.5052 2.5052 -5.0267" Properties=species:S:1:pos:R:3 pbc="T T T"
Zr 0.0000 0.0000 0.0000
Pa 2.5052 0.0000 2.5134
Pa 0.0000 0.0000 5.0267
Pa 0.0000 2.5052 2.5134
C 2.5052 0.0000 0.0000
C 0.0000 0.0000 2.4861
C 0.0000 2.5052 0.0000
C 0.0000 0.0000 7.5673
```

Output
Size of the total moment, μB per atom: 0.0000
Space group: I4/mmm



Arrangement B

# ZrPa3C4

An optimized crystal structure of ZrPa3C4 (GGA-PBE, Alexandria via LeMat-Bulk).

The structure in extended XYZ format:
```
8
Lattice="3.5511 -5.0172 0.0000 3.5511 5.0172 0.0000 0.0000 0.0000 3.5368" Properties=species:S:1:pos:R:3 pbc="T T T"
Zr 0.0000 0.0000 0.0000
Pa 1.7756 2.5086 1.7684
Pa 1.7756 -2.5086 1.7684
Pa 3.5511 0.0000 0.0000
C 1.7434 0.0000 1.7684
C 3.5511 2.5635 0.0000
C 3.5511 -2.5635 0.0000
C 5.3589 0.0000 1.7684
```

Output
Size of the total moment, μB per atom: 0.0000
Space group: Cmmm



Need the numbers? Relative energies in eV/atom: arrangement A 0.010; arrangement B 0.000.



Arrangement A

# ZrPaC

An optimized crystal structure of ZrPaC (GGA-PBE, Alexandria via LeMat-Bulk).

The structure in extended XYZ format:
```
3
Lattice="3.3560 0.0000 0.0000 -1.6780 2.9064 0.0000 0.0000 0.0000 5.8634" Properties=species:S:1:pos:R:3 pbc="T T T"
Zr 0.0000 0.0000 0.0000
Pa 1.6780 0.9688 3.1014
C 0.0000 1.9376 4.5968
```

Output
Size of the total moment, μB per atom: 0.1930
Space group: P3m1



Arrangement B

# ZrPaC

An optimized crystal structure of ZrPaC (GGA-PBE, Alexandria via LeMat-Bulk).

The structure in extended XYZ format:
```
12
Lattice="19.2014 0.0000 0.0000 0.0000 3.3126 0.0000 0.0000 0.0000 3.3530" Properties=species:S:1:pos:R:3 pbc="T T T"
Zr 3.7007 0.8282 0.4188
Zr 5.9000 2.4845 2.0953
Zr 13.3014 0.8282 1.2577
Zr 15.5007 2.4845 2.9342
Pa 1.1719 2.4845 2.1736
Pa 8.4288 0.8282 0.4971
Pa 10.7726 2.4845 2.8559
Pa 18.0295 0.8282 1.1794
C 3.5829 2.4845 2.0980
C 6.0178 0.8282 0.4215
C 13.1837 2.4845 2.9315
C 15.6185 0.8282 1.2550
```

Output
Size of the total moment, μB per atom: 0.0000
Space group: Pnma



Need the numbers? Relative energies in eV/atom: arrangement A 0.043; arrangement B 0.000.